Record 1
## BaAsCl2 (PBE)

Data for a relaxed structure of BaAsCl2.

Calculated values
magnetic moment	1.28	μB per formula unit
D(E_F)	0.242	states/eV per atom
ΔE to the lowest computed polymorph	0.201	eV/atom
raw formation energy	-1.03	eV per atom
DFT total energy	-3.5948	eV/atom

Structure (POSCAR):
```
BaAsCl2
1.0
3.7462 0.0029 0.0000
-0.0056 3.7462 0.0000
0.0000 0.0000 10.6726
As Ba Cl
1 1 2
Direct
0.5000 0.5000 0.2500
0.5000 0.5000 0.7500
0.0000 0.0000 0.9094
0.0000 0.0000 0.5906
```

---

Record 2
## BaAs2Cl8 (PBE)

Data for a relaxed structure of BaAs2Cl8.

Calculated values
magnetic moment	0.00	μB per formula unit
D(E_F)	0.000	states/eV per atom
raw formation energy	-1.09	eV per atom
DFT total energy	-3.4499	eV/atom

Structure (POSCAR):
```
BaAs2Cl8
1.0
7.9918 1.1371 0.8628
1.3675 7.8107 0.3944
1.3675 2.4830 7.4160
Ba As Cl
1 2 8
Direct
0.0000 0.0000 0.0000
0.6423 0.8397 0.8397
0.3577 0.1603 0.1603
0.2125 0.3119 0.9075
0.7875 0.0925 0.6881
0.3472 0.8028 0.8028
0.6528 0.1972 0.1972
0.2125 0.9075 0.3119
0.7875 0.6881 0.0925
0.8061 0.6644 0.6644
0.1939 0.3356 0.3356
```

---

Record 3
## Ba2AsCl (PBE)

Data for a relaxed structure of Ba2AsCl.

Calculated values
magnetic moment	0.00	μB per formula unit
D(E_F)	0.000	states/eV per atom
raw formation energy	-1.46	eV per atom
DFT total energy	-4.0417	eV/atom

Structure (POSCAR):
```
Ba2AsCl
1.0
-4.9432 -0.9194 4.9502
-3.7096 -4.0255 -4.4519
-0.5986 -8.7376 2.8080
As Ba Cl
2 4 2
Direct
0.0000 0.0000 0.0000
0.7500 0.2500 0.5000
0.6337 0.1250 0.2500
0.1163 0.6250 0.2500
0.3750 0.3663 0.7500
0.8750 0.8837 0.7500
0.5000 0.5000 0.0000
0.2500 0.7500 0.5000
```

---

Record 4
## Ba2AsCl (PBE)

Data for a relaxed structure of Ba2AsCl.

Calculated values
magnetic moment	0.00	μB per formula unit
D(E_F)	0.013	states/eV per atom
raw formation energy	-0.82	eV per atom
DFT total energy	-3.4040	eV/atom

Structure (POSCAR):
```
Ba2AsCl
1.0
5.6129 0.0000 0.0000
2.8064 4.8609 0.0000
2.8064 1.6203 4.5829
As Ba Cl
1 2 1
Direct
0.5000 0.5000 0.5000
0.0000 0.0000 0.0000
0.2500 0.2500 0.2500
0.7500 0.7500 0.7500
```

---

Record 5
## Ba6As3Cl2 (PBE)

Data for a relaxed structure of Ba6As3Cl2.

Calculated values
magnetic moment	1.00	μB per formula unit
D(E_F)	0.247	states/eV per atom
raw formation energy	-1.47	eV per atom
DFT total energy	-4.1212	eV/atom

Structure (POSCAR):
```
Ba6As3Cl2
1.0
-5.7596 4.7974 -3.5392
-5.0853 -3.1688 -5.7273
-6.9025 -0.3309 4.3120
Ba As Cl
6 3 2
Direct
0.4091 0.6631 0.7727
0.7455 0.0000 0.7740
0.0722 0.3369 0.7727
0.2545 0.0000 0.2260
0.5909 0.3369 0.2273
0.9278 0.6631 0.2273
0.0000 0.0000 0.0000
0.3339 0.3322 0.0000
0.6661 0.6678 0.0000
0.1669 0.6661 0.5000
0.8331 0.3339 0.5000
```

---

Record 6
## BaAsCl2 (PBE)

Data for a relaxed structure of BaAsCl2.

Calculated values
magnetic moment	0.00	μB per formula unit
D(E_F)	0.302	states/eV per atom
ΔE to the lowest computed polymorph	0.160	eV/atom
raw formation energy	-1.07	eV per atom
DFT total energy	-3.6353	eV/atom

Structure (POSCAR):
```
BaAsCl2
1.0
-3.2837 3.3896 -0.0438
-0.0422 -0.1070 -5.1119
-3.6843 -3.5695 -0.0212
As Ba Cl
1 1 2
Direct
0.5000 0.2500 0.2500
0.5000 0.7500 0.7500
0.0000 0.0326 0.0319
0.0000 0.4674 0.4681
```

---

Record 7
## BaAsCl4 (PBE)

Data for a relaxed structure of BaAsCl4.

Calculated values
magnetic moment	4.68	μB per formula unit
D(E_F)	1.261	states/eV per atom
raw formation energy	-0.35	eV per atom
DFT total energy	-2.6783	eV/atom

Structure (POSCAR):
```
BaAsCl4
1.0
0.0000 4.3760 4.3760
4.3760 0.0000 4.3760
4.3760 4.3760 0.0000
Ba As Cl
1 1 4
Direct
0.0000 0.0000 0.0000
0.7500 0.7500 0.7500
0.8760 0.3747 0.3747
0.3747 0.3747 0.8760
0.3747 0.8760 0.3747
0.3747 0.3747 0.3747
```

---

Record 8
## Ba2AsCl (PBE)

Data for a relaxed structure of Ba2AsCl.

Calculated values
magnetic moment	0.00	μB per formula unit
D(E_F)	0.221	states/eV per atom
raw formation energy	-1.29	eV per atom
DFT total energy	-3.8738	eV/atom

Structure (POSCAR):
```
Ba2AsCl
1.0
-5.4148 4.6078 -1.2613
-7.0222 -1.6505 -0.3276
5.9397 -0.9288 4.0000
As Ba Cl
1 2 1
Direct
0.7500 0.2500 0.5000
0.0000 0.0000 0.0000
0.2500 0.7500 0.5000
0.5000 0.5000 0.0000
```

---

Record 9
## BaCr2AsCl (PBE)

Data for a relaxed structure of BaCr2AsCl.

Calculated values
magnetic moment	9.94	μB per formula unit
D(E_F)	0.953	states/eV per atom
raw formation energy	1.53	eV per atom
DFT total energy	-4.0057	eV/atom

Structure (POSCAR):
```
BaCr2AsCl
1.0
-3.4453 -5.1962 -1.8534
2.1700 -3.0387 4.4856
-4.9586 1.9588 3.7258
Cr As Ba Cl
2 1 1 1
Direct
0.0000 0.0000 0.5000
0.5000 0.0000 0.0000
0.0000 0.5000 0.0000
0.0000 0.0000 0.0000
0.5000 0.5000 0.5000
```

---

Record 10
## Cs2BaAsCl6 (PBE)

Data for a relaxed structure of Cs2BaAsCl6.

Calculated values
magnetic moment	1.00	μB per formula unit
D(E_F)	0.000	states/eV per atom
raw formation energy	-1.60	eV per atom
DFT total energy	-3.5353	eV/atom

Structure (POSCAR):
```
Cs2BaAsCl6
1.0
-7.6916 -1.3284 -0.2578
1.3403 -7.6836 -0.3966
-3.3288 -4.8638 6.0874
Cs As Ba Cl
2 1 1 6
Direct
0.7500 0.2500 0.5000
0.2500 0.7500 0.5000
0.5000 0.5000 0.0000
0.0000 0.0000 0.0000
0.2330 0.2330 0.5340
0.7670 0.7670 0.4660
0.2738 0.2738 0.0000
0.7262 0.7262 0.0000
0.7262 0.2738 0.0000
0.2738 0.7262 0.0000
```

---

Record 11
## BaCu2AsCl8 (PBE)

Data for a relaxed structure of BaCu2AsCl8.

Calculated values
magnetic moment	0.98	μB per formula unit
D(E_F)	0.579	states/eV per atom
raw formation energy	-1.01	eV per atom
DFT total energy	-3.4726	eV/atom

Structure (POSCAR):
```
BaCu2AsCl8
1.0
-5.0727 3.5039 -0.3444
-4.7565 -3.7047 -1.3343
-1.6169 -1.2825 8.8224
Ba Cu As Cl
1 2 1 8
Direct
0.0000 0.0000 0.5000
0.6530 0.6530 0.2237
0.3470 0.3470 0.7763
0.0000 0.0000 0.0000
0.7577 0.2351 0.7955
0.7511 0.7511 0.0026
0.6889 0.6889 0.4640
0.3111 0.3111 0.5360
0.2489 0.2489 0.9974
0.2351 0.7577 0.7955
0.7649 0.2423 0.2045
0.2423 0.7649 0.2045
```

---

Record 12
## BaEuAsCl (PBE)

Data for a relaxed structure of BaEuAsCl.

Calculated values
magnetic moment	7.00	μB per formula unit
D(E_F)	4.764	states/eV per atom
raw formation energy	-1.49	eV per atom
DFT total energy	-6.1643	eV/atom

Structure (POSCAR):
```
BaEuAsCl
1.0
-3.0817 -2.8612 -3.5233
2.1211 -4.3383 -2.6033
-1.6669 -5.0629 1.2983
Eu As Ba Cl
1 1 1 1
Direct
0.5000 0.5000 0.5000
0.7500 0.7500 0.7500
0.0000 0.0000 0.0000
0.2500 0.2500 0.2500
```